# 1
Material: Co2Te
Method: DFT, PBE
State: optimized geometry

Results
Total DFT energy (no corrections)   -5.8229 eV per atom
ΔE_f (raw)   -0.04 eV/atom

a = 8.4918 Å, b = 8.4918 Å, c = 3.6608 Å
α = 90.00°, β = 90.00°, γ = 155.22°
Closest atoms and distances in Å follow each position.
Fractional coordinates of all 6 atoms:
Te 0.0430 0.9570 0.5000  4 Co 2.54-2.55
Co 0.3425 0.6575 0.0000  8 Co 2.39-2.58, 2 Te 2.55
Co 0.9365 0.0635 0.0000  8 Co 2.40-2.58, 2 Te 2.54
Co 0.8412 0.1588 0.5000  8 Co 2.40-2.58, 2 Te 2.54
Te 0.7348 0.2652 0.0000  4 Co 2.54-2.55
Co 0.4353 0.5647 0.5000  8 Co 2.39-2.58, 2 Te 2.55

# 2
Material: CoTe5
Method: DFT, PBE
State: optimized geometry

Results
Total DFT energy (no corrections)   -3.7591 eV per atom
ΔE_f (raw)   0.04 eV/atom

a = 7.6228 Å, b = 7.6228 Å, c = 5.9832 Å
α = 90.00°, β = 90.00°, γ = 149.74°
Closest atoms and distances in Å follow each position.
Fractional coordinates of all 6 atoms:
Te 0.3442 0.6558 0.5000  4 Te 3.04-3.06
Te 0.6558 0.3442 0.5000  4 Te 3.04-3.06
Te 0.6124 0.3876 0.0000  2 Co 2.59
Te 0.3876 0.6124 0.0000  2 Co 2.59
Te 0.0000 0.0000 0.5000  2 Co 2.99, 4 Te 3.04
Co 0.0000 0.0000 0.0000  4 Te 2.59

# 3
Material: CoTe2
Method: DFT, PBE
State: optimized geometry

Results
Total DFT energy (no corrections)   -4.6288 eV per atom
ΔE_f (raw)   -0.17 eV/atom

a = 6.3087 Å, b = 6.3087 Å, c = 6.3087 Å
α = 90.00°, β = 90.00°, γ = 90.00°
Closest atoms and distances in Å follow each position.
Fractional coordinates of all 12 atoms:
Te 0.3649 0.3649 0.3649  3 Co 2.60
Te 0.6351 0.6351 0.6351  3 Co 2.60
Te 0.1351 0.8649 0.3649  3 Co 2.60
Co 0.0000 0.5000 0.5000  6 Te 2.60
Te 0.1351 0.6351 0.8649  3 Co 2.60
Co 0.0000 0.0000 0.0000  6 Te 2.60
Te 0.6351 0.8649 0.1351  3 Co 2.60
Te 0.8649 0.3649 0.1351  3 Co 2.60
Co 0.5000 0.0000 0.5000  6 Te 2.60
Te 0.8649 0.1351 0.6351  3 Co 2.60
Te 0.3649 0.1351 0.8649  3 Co 2.60
Co 0.5000 0.5000 0.0000  6 Te 2.60